The following is a DFT calculation (GGA-PBEsol) of a relaxed Nb2Ru2Au crystal.

Output
Its crystal system is tetragonal. The calculation puts the formation enthalpy at 0 K at -8.4 kJ/mol of atoms. The symmetry is P4/mbm.

Cell: 3.0333 7.3151 7.3151 Å, 90.00 90.00 90.00°
Sites, in units of the cell vectors:
Ru  0.0000  0.3627  0.8627
Ru  0.0000  0.8627  0.6373
Ru  0.0000  0.6373  0.1373
Ru  0.0000  0.1373  0.3627
Nb  0.5000  0.1622  0.6622
Nb  0.5000  0.6622  0.8378
Nb  0.5000  0.8378  0.3378
Nb  0.5000  0.3378  0.1622
Au  0.0000  0.0000  0.0000
Au  0.0000  0.5000  0.5000

---

The following is a DFT calculation (GGA-PBEsol) of a relaxed Sr2NbRuAu crystal.

Output
Its crystal system is tetragonal. The calculation puts the formation enthalpy at 0 K at 157.9 kJ/mol of atoms. The symmetry is P4/mmm.

Cell: 4.8962 5.6031 5.6031 Å, 90.00 90.00 90.00°
Sites, in units of the cell vectors:
Ru  0.5000  0.5000  0.5000
Nb  0.0000  0.0000  0.0000
Au  0.5000  0.0000  0.0000
Sr  0.0000  0.0000  0.5000
Sr  0.0000  0.5000  0.0000

---

The following is a DFT calculation (GGA-PBEsol) of a relaxed NbAuS2 crystal.

Output
Its crystal system is trigonal. The symmetry is R-3m. The value obtained for the total energy is -26.488 eV/f.u.

Cell: 3.2597 3.2597 8.0566 Å, 78.33 78.33 60.00°
Sites, in units of the cell vectors:
Nb  0.5000  0.5000  0.5000
Au  0.0000  0.0000  0.0000
S  0.9013  0.9013  0.2960
S  0.0987  0.0987  0.7040

---

The following is a DFT calculation (GGA-PBEsol) of a relaxed NbAu3Se crystal.

Output
Its crystal system is cubic. The symmetry is Pm-3m. As for the energy above the most stable polymorph in this dataset: 226.0 meV/atom.

Cell: 5.0259 5.0259 5.0259 Å, 90.00 90.00 90.00°
Sites, in units of the cell vectors:
Nb  0.0000  0.0000  0.0000
Au  0.0000  0.5000  0.0000
Au  0.0000  0.0000  0.5000
Au  0.5000  0.0000  0.0000
Se  0.5000  0.5000  0.5000

---

The following is a DFT calculation (GGA-PBEsol) of a relaxed NbAuSe2 crystal.

Output
Its crystal system is cubic. The symmetry is Fm-3m. The value obtained for the total energy is -22.330 eV/f.u.

Cell: 4.6428 4.6428 4.6428 Å, 60.00 60.00 60.00°
Sites, in units of the cell vectors:
Nb  0.0000  0.0000  0.0000
Au  0.5000  0.5000  0.5000
Se  0.2500  0.2500  0.2500
Se  0.7500  0.7500  0.7500

---

The following is a DFT calculation (GGA-PBEsol) of a relaxed NbAu3Se crystal.

Output
Its crystal system is cubic. The symmetry is Pm-3m. As for the energy above the most stable polymorph in this dataset: 0.0 meV/atom.

Cell: 4.7939 4.7939 4.7939 Å, 90.00 90.00 90.00°
Sites, in units of the cell vectors:
Nb  0.5000  0.5000  0.5000
Au  0.0000  0.5000  0.0000
Au  0.0000  0.0000  0.5000
Au  0.5000  0.0000  0.0000
Se  0.0000  0.0000  0.0000

---

For reference, DOS(E_F) by record: 6.077 9.416 1.226 6.040 4.629 4.802 states/eV per cell.
For reference, spin magnetization by record: 0.00 2.32 0.00 0.00 0.63 2.72 μB/f.u..